The following is a DFT calculation (PBE) of an optimized crystal structure of Pa2CuNi6.

Lattice parameters (Å, degrees): 5.1447 5.1447 5.7059 90.00 90.00 120.00
Sites, in units of the cell vectors:
Pa 0.3333 0.6667 0.3067
Pa 0.6667 0.3333 0.6933
Cu 0.0000 0.0000 0.5000
Ni 0.1720 0.3441 0.8269
Ni 0.1720 0.8280 0.8269
Ni 0.3441 0.1720 0.1731
Ni 0.6559 0.8280 0.8269
Ni 0.8280 0.1720 0.1731
Ni 0.8280 0.6559 0.1731

The electronic total energy comes out at -6.745 eV/atom. The value obtained for the total magnetic moment is 0.0 μB/f.u. As for the symmetry: P-3m1. The density of states at the Fermi level comes out at 7.609 states/eV/f.u. Its formation energy is -0.325 eV/atom.